GGA+U PrV2O2, optimized geometry; raw total energy = -130.32 eV per cell; space group = I4_1/amd (141)
1.0
-4.4393 4.4393 4.8150
4.4393 -4.4393 4.8150
4.4393 4.4393 -4.8150
O V Pr
8 8 4
direct
0.1940 0.3474 0.8466
0.0974 0.4440 0.3466
0.5560 0.9026 0.6534
0.2492 0.9026 0.3466
0.0974 0.7508 0.6534
0.6526 0.4992 0.8466
0.6526 0.8060 0.1534
0.5008 0.3474 0.1534
0.5669 0.7533 0.8137
0.2467 0.4331 0.1863
0.1831 0.4967 0.6863
0.5033 0.1896 0.6863
0.9396 0.7533 0.1863
0.8104 0.4967 0.3137
0.2467 0.0604 0.8137
0.5033 0.8169 0.3137
0.3750 0.1250 0.2500
0.8750 0.1250 0.7500
0.8750 0.1250 0.2500
0.8750 0.6250 0.7500